[1]
Density functional theory data (GGA-PBE) for a geometry-optimized YGePb3 structure.

Geometry as POSCAR:
```
YGePb3
1.0
5.837 0.000 0.000
0.000 5.837 0.000
0.000 0.000 5.837
Y Ge Pb
1 1 3
Direct
0.000 0.000 0.000
0.500 0.500 0.500
0.000 0.000 0.500
0.000 0.500 0.000
0.500 0.000 0.000
```

Summary:
As for the space group: Pm-3m. The density of states at the Fermi level comes out at 3.7 states/eV per cell. The formation energy comes out at 0.71 eV/atom. The value obtained for the energy is -18.7 eV/f.u. The polymorph energy (0 for the lowest one) is 0.330 eV per atom.

[2]
Density functional theory data (GGA-PBE) for a geometry-optimized NdReO4 structure.

Geometry as POSCAR:
```
NdReO4
1.0
-3.725 3.725 3.441
3.725 -3.725 3.441
3.725 3.725 -3.441
Nd Re O
2 2 8
Direct
0.375 0.625 0.750
0.625 0.375 0.250
0.125 0.875 0.250
0.875 0.125 0.750
0.115 0.687 0.429
0.242 0.313 0.929
0.313 0.242 0.429
0.313 0.885 0.071
0.687 0.115 0.929
0.687 0.758 0.571
0.758 0.687 0.071
0.885 0.313 0.571
```

Summary:
As for the energy relative to the elements, uncorrected: -2.1736 eV/atom. As for the space group: I4_1/amd. The density of states at the Fermi level comes out at 3.1 states/eV per cell. The value obtained for the energy is -50.1 eV/f.u. The polymorph energy (0 for the lowest one) is 0.163 eV per atom.

[3]
Density functional theory data (GGA-PBE) for a geometry-optimized DyI4N2 structure.

Geometry as POSCAR:
```
DyI4N2
1.0
3.916 0.000 0.000
-1.956 8.106 0.000
-1.950 -2.888 7.605
Dy I N
1 4 2
Direct
0.000 0.000 0.000
0.248 0.742 0.753
0.490 0.232 0.748
0.510 0.768 0.252
0.752 0.258 0.247
0.008 0.831 0.185
0.992 0.169 0.815
```

Summary:
As for the energy relative to the elements, uncorrected: 0.0982 eV/atom. As for the space group: P-1. The density of states at the Fermi level comes out at 2.3 states/eV per cell. The value obtained for the energy is -26.8 eV/f.u.

[4]
Density functional theory data (GGA-PBE) for a geometry-optimized ScNi2W structure.

Geometry as POSCAR:
```
ScNi2W
1.0
1.427 0.824 8.401
-1.427 0.824 8.401
0.000 -1.648 8.401
Sc Ni W
1 2 1
Direct
0.000 0.000 0.000
0.248 0.248 0.248
0.752 0.752 0.752
0.500 0.500 0.500
```

Summary:
As for the space group: R-3m. The density of states at the Fermi level comes out at 5.6 states/eV per cell. The formation energy comes out at 0.20 eV/atom. The value obtained for the energy is -30.0 eV/f.u. The polymorph energy (0 for the lowest one) is 0.319 eV per atom.